RbErMnSe4 after structural relaxation. Source: Alexandria via LeMat-Bulk, functional PBE-GGA.

Output
Total moment, μB per atom: 0.429
Symmetry: P2_1/m, No. 11
E, eV/atom: -5.156
Formation energy (no corrections), meV/atom: -1065.0

Cell: 6.6725 6.6693 9.5750 Å, 90.00 109.02 90.00°
Each line ends with the local moment (μB).
Sites, in units of the cell vectors:
Se 0.9762 0.4909 0.2965  -0.06
Se 0.0238 0.9909 0.7035  -0.06
Mn 0.2222 0.7500 0.3296  2.86
Rb 0.2550 0.2500 0.0585  0.00
Se 0.5764 0.2500 0.4250  -0.04
Se 0.5760 0.2500 0.8258  -0.01
Rb 0.7450 0.7500 0.9415  0.00
Se 0.9762 0.0091 0.2965  -0.06
Er 0.7666 0.7500 0.4504  0.07
Se 0.4240 0.7500 0.1742  -0.01
Er 0.2334 0.2500 0.5496  0.07
Mn 0.7778 0.2500 0.6704  2.86
Se 0.4236 0.7500 0.5750  -0.04
Se 0.0238 0.5091 0.7035  -0.06